## CsLiSiSe3 (PBE-GGA)

Data for a relaxed CsLiSiSe3 crystal.

Lattice parameters (Å, degrees): 7.089 7.089 8.994 97.59 97.59 92.29
Sites, in units of the cell vectors:
Li (0.292, 0.708, 0.500)
Se (0.724, 0.090, 0.240)
Se (0.910, 0.276, 0.760)
Se (0.276, 0.910, 0.760)
Li (0.708, 0.292, 0.500)
Cs (0.214, 0.214, 0.158)
Se (0.643, 0.643, 0.427)
Se (0.357, 0.357, 0.573)
Si (0.819, 0.819, 0.309)
Si (0.181, 0.181, 0.691)
Se (0.090, 0.724, 0.240)
Cs (0.786, 0.786, 0.842)

ΔE_f (raw): -0.860 eV per atom
Total energy: -3.97 eV/atom
Crystal system: monoclinic

## TiBe2Co (PBE-GGA)

Data for a relaxed TiBe2Co crystal.

Lattice parameters (Å, degrees): 2.702 2.702 5.815 90.00 90.00 90.00
Site moments in Bohr magnetons follow the coordinates.
Sites, in units of the cell vectors:
Co (0.500, 0.500, 0.000)  0.16
Be (0.000, 0.000, 0.805)  0.00
Be (0.000, 0.000, 0.195)  0.00
Ti (0.500, 0.500, 0.500)  0.38

Total energy: -5.84 eV/atom
Crystal system: tetragonal
Calculated formation energy: -0.225 eV/atom
Energy above the lowest structure with this stoichiometry: 0.030 eV per atom

## Er5Sb4P (PBE-GGA)

Data for a relaxed Er5Sb4P crystal.

Lattice parameters (Å, degrees): 4.288 4.288 15.411 98.00 98.00 90.00
Sites, in units of the cell vectors:
Sb (0.803, 0.803, 0.606)
Er (0.299, 0.299, 0.598)
Er (0.500, 0.500, 0.000)
Sb (0.401, 0.401, 0.801)
Er (0.701, 0.701, 0.402)
Sb (0.599, 0.599, 0.199)
Sb (0.197, 0.197, 0.394)
Er (0.092, 0.092, 0.184)
Er (0.908, 0.908, 0.816)
P (0.000, 0.000, 0.000)

ΔE_f (raw): -1.154 eV per atom
Total energy: -5.63 eV/atom
Crystal system: tetragonal
Energy above the lowest structure with this stoichiometry: 0.007 eV per atom

## Re2RuSe (PBE-GGA)

Data for a relaxed Re2RuSe crystal.

Lattice parameters (Å, degrees): 5.277 5.277 5.277 147.38 130.53 60.53
Sites, in units of the cell vectors:
Re (0.027, 0.027, 0.000)
Re (0.473, 0.473, 0.000)
Ru (0.750, 0.250, 0.500)
Se (0.250, 0.750, 0.500)

ΔE_f (raw): 0.403 eV per atom
Total energy: -9.01 eV/atom
Crystal system: orthorhombic
Energy above the lowest structure with this stoichiometry: 0.154 eV per atom

## Tb8Dy2Tm (PBE-GGA)

Data for a relaxed Tb8Dy2Tm crystal.

Lattice parameters (Å, degrees): 6.422 9.205 9.204 43.11 71.38 71.38
Sites, in units of the cell vectors:
Tb (0.689, 0.663, 0.129)
Dy (0.889, 0.715, 0.715)
Tb (0.251, 0.444, 0.444)
Tb (0.749, 0.556, 0.556)
Tb (0.319, 0.791, 0.791)
Tb (0.311, 0.337, 0.871)
Tb (0.689, 0.129, 0.663)
Tm (0.000, 0.000, 0.000)
Tb (0.311, 0.871, 0.337)
Tb (0.681, 0.209, 0.209)
Dy (0.111, 0.285, 0.285)

Total energy: -4.42 eV/atom
Crystal system: monoclinic
Calculated formation energy: 0.187 eV/atom
Energy above the lowest structure with this stoichiometry: 0.014 eV per atom

## NaBeNi (PBE-GGA)

Data for a relaxed NaBeNi crystal.

Lattice parameters (Å, degrees): 3.551 10.247 4.965 90.00 90.00 90.00
Sites, in units of the cell vectors:
Na (0.500, 0.232, 0.750)
Be (0.000, 0.476, 0.750)
Ni (0.000, 0.000, 0.000)
Ni (0.500, 0.500, 0.000)
Be (0.000, 0.524, 0.250)
Na (0.000, 0.268, 0.250)
Ni (0.500, 0.500, 0.500)
Ni (0.000, 0.000, 0.500)
Na (0.500, 0.768, 0.250)
Be (0.500, 0.976, 0.750)
Be (0.500, 0.024, 0.250)
Na (0.000, 0.732, 0.750)

Total energy: -3.51 eV/atom
Crystal system: orthorhombic
Calculated formation energy: 0.099 eV/atom
Energy above the lowest structure with this stoichiometry: 0.002 eV per atom

## K4Pa (PBE-GGA)

Data for a relaxed K4Pa crystal.

Lattice parameters (Å, degrees): 7.228 7.228 7.228 90.00 90.00 90.00
Site moments in Bohr magnetons follow the coordinates.
Sites, in units of the cell vectors:
Pa (0.500, 0.500, 0.500)  2.67
K (0.500, 0.000, 0.500)  0.05
K (0.000, 0.500, 0.500)  0.05
K (0.500, 0.500, 0.000)  0.05
K (0.000, 0.000, 0.000)  0.01

Total energy: -1.54 eV/atom
Crystal system: cubic
Calculated formation energy: 1.241 eV/atom

## LiSbAs (PBE-GGA)

Data for a relaxed LiSbAs crystal.

Lattice parameters (Å, degrees): 3.062 4.512 10.029 90.92 90.00 90.00
Sites, in units of the cell vectors:
Sb (0.912, 0.494, 0.279)
Li (0.412, 0.581, 0.757)
As (0.912, 0.416, 0.002)
Li (0.412, 0.922, 0.001)
Sb (0.912, 0.009, 0.479)
As (0.912, 0.087, 0.756)

ΔE_f (raw): -0.232 eV per atom
Total energy: -3.79 eV/atom
Crystal system: monoclinic

## Pr3AgHg4 (PBE-GGA)

Data for a relaxed Pr3AgHg4 crystal.

Lattice parameters (Å, degrees): 3.913 9.350 8.139 125.06 103.91 90.00
Sites, in units of the cell vectors:
Hg (0.375, 0.609, 0.749)
Ag (0.500, 0.000, 0.000)
Pr (0.200, 0.200, 0.400)
Pr (0.000, 0.500, 0.000)
Hg (0.625, 0.391, 0.251)
Pr (0.800, 0.800, 0.600)
Hg (0.625, 0.860, 0.251)
Hg (0.375, 0.140, 0.749)

Total energy: -2.60 eV/atom
Crystal system: orthorhombic
Calculated formation energy: -0.303 eV/atom
Energy above the lowest structure with this stoichiometry: 0.084 eV per atom

## Sr2ClO2 (PBE-GGA)

Data for a relaxed Sr2ClO2 crystal.

Lattice parameters (Å, degrees): 7.500 7.500 3.449 90.00 90.00 90.00
Site moments in Bohr magnetons follow the coordinates.
Sites, in units of the cell vectors:
O (0.392, 0.108, 0.500)  0.43
Cl (0.000, 0.000, 0.000)  0.01
Sr (0.154, 0.346, 0.000)  -0.01
O (0.892, 0.392, 0.500)  0.43
O (0.108, 0.608, 0.500)  0.43
Sr (0.654, 0.154, 0.000)  -0.01
O (0.608, 0.892, 0.500)  0.43
Sr (0.846, 0.654, 0.000)  -0.01
Cl (0.500, 0.500, 0.000)  0.01
Sr (0.346, 0.846, 0.000)  -0.01

ΔE_f (raw): -2.096 eV per atom
Total energy: -5.12 eV/atom
Crystal system: tetragonal
Energy above the lowest structure with this stoichiometry: 0.236 eV per atom

## SrIrI2N (PBE-GGA)

Data for a relaxed SrIrI2N crystal.

Lattice parameters (Å, degrees): 6.385 6.385 4.961 90.00 90.00 90.00
Site moments in Bohr magnetons follow the coordinates.
Sites, in units of the cell vectors:
I (0.000, 0.500, 0.000)  0.03
N (0.000, 0.000, 0.500)  -1.40
Ir (0.500, 0.500, 0.500)  2.35
Sr (0.000, 0.000, 0.000)  -0.01
I (0.500, 0.000, 0.000)  0.03

ΔE_f (raw): 1.302 eV per atom
Total energy: -3.09 eV/atom
Crystal system: tetragonal
Energy above the lowest structure with this stoichiometry: 1.583 eV per atom

## Be2TeP (PBE-GGA)

Data for a relaxed Be2TeP crystal.

Lattice parameters (Å, degrees): 5.123 5.123 6.678 67.44 67.44 90.00
Sites, in units of the cell vectors:
Be (0.572, 0.125, 0.250)
P (0.250, 0.750, 0.500)
Be (0.375, 0.428, 0.750)
Te (0.750, 0.250, 0.500)
Be (0.178, 0.625, 0.250)
Be (0.875, 0.822, 0.750)
P (0.500, 0.500, 0.000)
Te (0.000, 0.000, 0.000)

ΔE_f (raw): -0.130 eV per atom
Total energy: -4.13 eV/atom
Crystal system: tetragonal
Energy above the lowest structure with this stoichiometry: 0.000 eV per atom

## Ba3P2 (PBE-GGA)

Data for a relaxed Ba3P2 crystal.

Lattice parameters (Å, degrees): 5.471 5.471 7.069 90.00 90.00 120.00
Sites, in units of the cell vectors:
Ba (0.667, 0.333, 0.691)
P (0.667, 0.333, 0.218)
Ba (0.000, 0.000, 0.000)
Ba (0.333, 0.667, 0.309)
P (0.333, 0.667, 0.782)

Total energy: -4.27 eV/atom
Crystal system: trigonal
Calculated formation energy: -0.950 eV/atom
Energy above the lowest structure with this stoichiometry: 0.032 eV per atom

## MgGa4 (PBE-GGA)

Data for a relaxed MgGa4 crystal.

Lattice parameters (Å, degrees): 4.238 4.238 6.329 109.41 109.41 90.44
Sites, in units of the cell vectors:
Ga (0.110, 0.610, 0.720)
Ga (0.250, 0.250, 0.000)
Ga (0.890, 0.390, 0.280)
Mg (0.500, 0.000, 0.500)
Ga (0.750, 0.750, 0.000)

Total energy: -2.77 eV/atom
Crystal system: orthorhombic
Calculated formation energy: -0.031 eV/atom
Energy above the lowest structure with this stoichiometry: 0.024 eV per atom

## Mn3Se (PBE-GGA)

Data for a relaxed Mn3Se crystal.

Lattice parameters (Å, degrees): 8.096 8.096 8.096 154.09 154.09 36.97
Site moments in Bohr magnetons follow the coordinates.
Sites, in units of the cell vectors:
Se (0.631, 0.631, 0.000)  -0.04
Se (0.369, 0.369, 0.000)  -0.04
Mn (0.883, 0.883, 0.000)  2.06
Mn (0.250, 0.750, 0.500)  2.14
Mn (0.117, 0.117, 0.000)  2.06
Mn (0.750, 0.250, 0.500)  2.14
Mn (0.500, 0.000, 0.500)  1.91
Mn (0.000, 0.500, 0.500)  1.91

ΔE_f (raw): 0.237 eV per atom
Total energy: -7.51 eV/atom
Crystal system: tetragonal
Energy above the lowest structure with this stoichiometry: 0.135 eV per atom

## BePAu (PBE-GGA)

Data for a relaxed BePAu crystal.

Lattice parameters (Å, degrees): 8.217 3.510 6.713 90.00 90.00 90.00
Sites, in units of the cell vectors:
P (0.250, 0.250, 0.254)
P (0.750, 0.750, 0.746)
P (0.250, 0.750, 0.754)
P (0.750, 0.250, 0.246)
Be (0.749, 0.250, 0.560)
Be (0.751, 0.750, 0.060)
Au (0.000, 0.250, 0.749)
Au (0.000, 0.750, 0.251)
Be (0.249, 0.250, 0.940)
Au (0.500, 0.750, 0.249)
Au (0.500, 0.250, 0.751)
Be (0.251, 0.750, 0.440)

Total energy: -4.16 eV/atom
Crystal system: orthorhombic
Calculated formation energy: -0.025 eV/atom

## CaErSc (PBE-GGA)

Data for a relaxed CaErSc crystal.

Lattice parameters (Å, degrees): 6.075 6.075 10.086 67.08 67.08 33.58
Sites, in units of the cell vectors:
Er (0.037, 0.037, 0.085)
Sc (0.379, 0.379, 0.380)
Ca (0.040, 0.040, 0.564)
Sc (0.374, 0.374, 0.928)
Er (0.716, 0.716, 0.223)
Ca (0.713, 0.713, 0.744)

Total energy: -4.16 eV/atom
Crystal system: monoclinic
Calculated formation energy: 0.135 eV/atom
Energy above the lowest structure with this stoichiometry: 0.011 eV per atom

## CdGeB2 (PBE-GGA)

Data for a relaxed CdGeB2 crystal.

Lattice parameters (Å, degrees): 5.395 5.395 5.908 62.83 62.83 90.00
Sites, in units of the cell vectors:
Cd (0.000, 0.000, 0.000)
B (0.575, 0.125, 0.250)
B (0.175, 0.625, 0.250)
Ge (0.500, 0.500, 0.000)
Cd (0.750, 0.250, 0.500)
B (0.375, 0.425, 0.750)
B (0.875, 0.825, 0.750)
Ge (0.250, 0.750, 0.500)

Total energy: -3.71 eV/atom
Crystal system: tetragonal
Calculated formation energy: 1.010 eV/atom
Energy above the lowest structure with this stoichiometry: 0.000 eV per atom

## Nd3Er4Tm2 (PBE-GGA)

Data for a relaxed Nd3Er4Tm2 crystal.

Lattice parameters (Å, degrees): 3.545 11.787 9.691 133.14 90.00 98.65
Sites, in units of the cell vectors:
Nd (0.000, 0.000, 0.000)
Tm (0.665, 0.330, 0.408)
Er (0.484, 0.969, 0.294)
Nd (0.845, 0.691, 0.278)
Er (0.825, 0.649, 0.883)
Er (0.516, 0.031, 0.706)
Tm (0.335, 0.670, 0.592)
Er (0.175, 0.351, 0.117)
Nd (0.155, 0.309, 0.722)

Total energy: -4.59 eV/atom
Crystal system: monoclinic
Calculated formation energy: 0.021 eV/atom
Energy above the lowest structure with this stoichiometry: 0.000 eV per atom

## DyY2Ni (PBE-GGA)

Data for a relaxed DyY2Ni crystal.

Lattice parameters (Å, degrees): 6.367 6.863 9.618 90.00 90.00 90.00
Sites, in units of the cell vectors:
Y (0.821, 0.322, 0.934)
Y (0.821, 0.322, 0.566)
Y (0.321, 0.178, 0.434)
Ni (0.951, 0.610, 0.750)
Dy (0.141, 0.965, 0.750)
Dy (0.859, 0.035, 0.250)
Ni (0.549, 0.110, 0.750)
Dy (0.359, 0.465, 0.750)
Y (0.679, 0.822, 0.566)
Y (0.179, 0.678, 0.066)
Y (0.679, 0.822, 0.934)
Dy (0.641, 0.535, 0.250)
Ni (0.451, 0.890, 0.250)
Ni (0.049, 0.390, 0.250)
Y (0.179, 0.678, 0.434)
Y (0.321, 0.178, 0.066)

Total energy: -6.07 eV/atom
Crystal system: orthorhombic
Calculated formation energy: -0.241 eV/atom
Energy above the lowest structure with this stoichiometry: 0.000 eV per atom

## RbMn2Mo (PBE-GGA)

Data for a relaxed RbMn2Mo crystal.

Lattice parameters (Å, degrees): 4.514 4.514 4.514 60.00 60.00 60.00
Sites, in units of the cell vectors:
Mn (0.750, 0.750, 0.750)
Rb (0.000, 0.000, 0.000)
Mo (0.500, 0.500, 0.500)
Mn (0.250, 0.250, 0.250)

Total energy: -5.58 eV/atom
Crystal system: cubic
Calculated formation energy: 1.954 eV/atom
Energy above the lowest structure with this stoichiometry: 0.565 eV per atom

## GdPaAu (PBE-GGA)

Data for a relaxed GdPaAu crystal.

Lattice parameters (Å, degrees): 3.358 3.358 7.135 103.61 103.61 90.00
Site moments in Bohr magnetons follow the coordinates.
Sites, in units of the cell vectors:
Gd (0.602, 0.602, 0.205)  -7.13
Pa (0.296, 0.296, 0.593)  -0.28
Au (0.951, 0.951, 0.903)  -0.01

Total energy: -9.13 eV/atom
Crystal system: tetragonal
Calculated formation energy: -0.180 eV/atom
Energy above the lowest structure with this stoichiometry: 0.000 eV per atom

## Tb6Pr8Sm (PBE-GGA)

Data for a relaxed Tb6Pr8Sm crystal.

Lattice parameters (Å, degrees): 9.926 9.926 8.342 53.49 53.49 60.00
Sites, in units of the cell vectors:
Tb (0.392, 0.922, 0.969)
Tb (0.922, 0.716, 0.969)
Pr (0.414, 0.414, 0.758)
Tb (0.284, 0.608, 0.031)
Tb (0.078, 0.284, 0.031)
Tb (0.716, 0.392, 0.969)
Pr (0.931, 0.357, 0.487)
Tb (0.608, 0.078, 0.031)
Sm (0.000, 0.000, 0.000)
Pr (0.774, 0.069, 0.513)
Pr (0.643, 0.774, 0.513)
Pr (0.069, 0.643, 0.513)
Pr (0.226, 0.931, 0.487)
Pr (0.357, 0.226, 0.487)
Pr (0.586, 0.586, 0.242)

Total energy: -4.56 eV/atom
Crystal system: trigonal
Calculated formation energy: 0.160 eV/atom
Energy above the lowest structure with this stoichiometry: 0.000 eV per atom

## Sr2LiGaCo (PBE-GGA)

Data for a relaxed Sr2LiGaCo crystal.

Lattice parameters (Å, degrees): 6.044 4.748 6.044 90.00 90.00 90.00
Site moments in Bohr magnetons follow the coordinates.
Sites, in units of the cell vectors:
Co (0.500, 0.500, 0.500)  1.99
Sr (0.500, 0.000, 0.000)  -0.01
Li (0.000, 0.500, 0.000)  0.01
Ga (0.000, 0.000, 0.000)  0.03
Sr (0.000, 0.000, 0.500)  -0.01

Total energy: -2.57 eV/atom
Crystal system: tetragonal
Calculated formation energy: 0.508 eV/atom